No. 1
The following is a DFT calculation (PBE) of AlW after structural relaxation.

Summary:
* calculated total energy: -8.20 eV per atom
* formation energy from the elements: 0.1482 eV per atom

Structure (POSCAR):
```
AlW
1.0
2.855 0.000 0.000
-1.427 2.472 0.000
0.000 0.000 9.027
Al W
2 2
Direct
0.333 0.667 0.127
0.667 0.333 0.873
0.333 0.667 0.628
0.667 0.333 0.372
```

***

No. 2
The following is a DFT calculation (PBE) of Al3W after structural relaxation.

Summary:
* calculated total energy: -6.09 eV per atom
* formation energy from the elements: -0.0486 eV per atom

Structure (POSCAR):
```
Al3W
1.0
4.764 -1.386 0.000
4.764 1.386 0.000
-0.525 0.000 4.761
Al W
3 1
Direct
0.000 0.000 0.000
0.241 0.241 0.740
0.759 0.759 0.260
0.500 0.500 0.500
```

***

No. 3
The following is a DFT calculation (PBE) of Al2W after structural relaxation.

Summary:
* calculated total energy: -6.85 eV per atom
* formation energy from the elements: -0.0393 eV per atom

Structure (POSCAR):
```
Al2W
1.0
4.867 0.000 0.000
-2.433 4.215 0.000
0.000 0.000 6.785
Al W
6 3
Direct
0.169 0.338 0.000
0.169 0.831 0.667
0.338 0.169 0.333
0.662 0.831 0.333
0.831 0.169 0.667
0.831 0.662 0.000
0.000 0.500 0.333
0.500 0.000 0.000
0.500 0.500 0.667
```

***

No. 4
The following is a DFT calculation (PBE) of Al3W after structural relaxation.

Summary:
* calculated total energy: -5.95 eV per atom
* formation energy from the elements: 0.0978 eV per atom

Structure (POSCAR):
```
Al3W
1.0
5.032 0.000 0.000
0.000 5.032 0.000
0.000 0.000 5.032
Al W
6 2
Direct
0.000 0.250 0.500
0.000 0.750 0.500
0.250 0.500 0.000
0.500 0.000 0.250
0.500 0.000 0.750
0.750 0.500 0.000
0.000 0.000 0.000
0.500 0.500 0.500
```

***

No. 5
The following is a DFT calculation (PBE) of AlW after structural relaxation.

Summary:
* calculated total energy: -8.27 eV per atom
* formation energy from the elements: 0.0823 eV per atom

Structure (POSCAR):
```
AlW
1.0
13.863 0.000 0.000
0.000 2.760 0.000
0.000 0.000 4.875
Al W
6 6
Direct
0.000 0.045 0.000
0.167 0.012 0.710
0.333 0.988 0.210
0.500 0.955 0.500
0.667 0.988 0.210
0.833 0.012 0.710
0.000 0.579 0.498
0.164 0.495 0.208
0.336 0.505 0.708
0.500 0.421 0.998
0.664 0.505 0.708
0.836 0.495 0.208
```

***

No. 6
The following is a DFT calculation (PBE) of AlW after structural relaxation.

Summary:
* calculated total energy: -8.07 eV per atom
* formation energy from the elements: 0.2773 eV per atom

Structure (POSCAR):
```
AlW
1.0
7.789 0.000 0.000
0.000 7.789 0.000
0.000 0.000 4.501
Al W
8 8
Direct
0.036 0.675 0.000
0.128 0.206 0.500
0.206 0.872 0.500
0.325 0.036 0.000
0.675 0.964 0.000
0.794 0.128 0.500
0.872 0.794 0.500
0.964 0.325 0.000
0.168 0.533 0.500
0.296 0.376 0.000
0.376 0.704 0.000
0.467 0.168 0.500
0.533 0.832 0.500
0.624 0.296 0.000
0.704 0.624 0.000
0.832 0.467 0.500
```

***

Number 1: magnetization 0.000 μB per cell. Number 2: magnetization 0.000 μB per cell. Number 3: magnetization 0.000 μB per cell. Number 4: magnetization 2.314 μB per cell. Number 5: magnetization 0.000 μB per cell. Number 6: magnetization 0.000 μB per cell.